Compound: LiMn2Co
Source: Alexandria via LeMat-Bulk
Functional: GGA-PBE
Structure: relaxed

Geometry as POSCAR:
```
LiMn2Co
1.0
2.5321 0.0000 0.0000
0.0000 3.5966 0.0000
0.0000 0.0000 5.0861
Mn Co Li
2 1 1
direct
0.5000 0.5000 0.2500
0.0000 0.0000 0.0020
0.0000 0.0000 0.5092
0.5000 0.5000 0.7389
```

Results
- Formation energy from the elements: 0.9 eV per formula unit